Entry one
This record from the Alexandria database describes crystalline CsAuSe4 at its relaxed geometry. The functional is PBE.

Results
Space-group type: C2/c
Total magnetic moment (μB/f.u.): 0.000
Crystal system: monoclinic

Unit cell a=8.8811 b=13.3599 c=7.3399 alpha=120.44 beta=89.88 gamma=131.84
Last column: nearest neighbours and their distance in Å.
Fractional positions:
Cs1 0.0546 0.3046 0.6092  8 Se 3.81-3.84
Cs2 0.9454 0.6954 0.3908  8 Se 3.81-3.84
Au1 0.3511 0.1011 0.2023  4 Se 2.56-2.57
Au2 0.6489 0.8989 0.7977  4 Se 2.56-2.57
Se1 0.6207 0.0771 0.7948  1 Se 2.34, 1 Au 2.57
Se2 0.9653 0.9224 0.2048  1 Se 2.34, 1 Au 2.56
Se3 0.6742 0.7177 0.7948  1 Se 2.34, 1 Au 2.57
Se4 0.7396 0.2824 0.2048  1 Se 2.34, 1 Au 2.56
Se5 0.2604 0.7176 0.7952  1 Se 2.34, 1 Au 2.56
Se6 0.3258 0.2823 0.2052  1 Se 2.34, 1 Au 2.57
Se7 0.0347 0.0776 0.7952  1 Se 2.34, 1 Au 2.56
Se8 0.3793 0.9229 0.2052  1 Se 2.34, 1 Au 2.57


Entry two
This record from the Alexandria database describes crystalline CsAuSe4 at its relaxed geometry. The functional is PBE.

Results
Space-group type: C2/m
N(E_F) (states/eV per cell): 4.11
Total magnetic moment (μB/f.u.): 0.000
Crystal system: monoclinic

Unit cell a=5.2764 b=5.2763 c=7.8450 alpha=94.85 beta=94.85 gamma=86.38
Last column: nearest neighbours and their distance in Å.
Fractional positions:
Cs1 0.5000 0.5000 0.5000  8 Se 3.78-3.93
Au1 0.0000 0.0000 0.0000  4 Se 2.52-2.54
Se1 0.6905 0.6905 0.0763  1 Se 2.42, 1 Au 2.52
Se2 0.3095 0.3095 0.9237  1 Se 2.42, 1 Au 2.52
Se3 0.0726 0.0726 0.6927  1 Se 2.42, 1 Au 2.54
Se4 0.9274 0.9274 0.3073  1 Se 2.42, 1 Au 2.54


Energies relative to the most stable structure are entry one 0.000; entry two 0.190, reported in eV/atom.


Entry one
This record from the Alexandria database describes crystalline Cs2Au2Se at its relaxed geometry. The functional is PBE.

Results
Space-group type: I4/mmm
N(E_F) (states/eV per cell): 0.00
Total magnetic moment (μB/f.u.): 0.000
Crystal system: tetragonal

Unit cell a=7.0604 b=7.0604 c=6.3164 alpha=56.02 beta=56.02 gamma=90.00
Last column: nearest neighbours and their distance in Å.
Fractional positions:
Cs1 0.7500 0.2500 0.5000  4 Au 3.59, 2 Cs 3.87
Cs2 0.2500 0.7500 0.5000  4 Au 3.59, 2 Cs 3.87
Au1 0.3321 0.3321 0.3359  1 Se 2.57, 1 Au 2.60
Au2 0.6679 0.6679 0.6641  1 Se 2.57, 1 Au 2.60
Se1 0.0000 0.0000 0.0000  2 Au 2.57


Entry two
This record from the Alexandria database describes crystalline Cs2Au2Se at its relaxed geometry. The functional is PBE.

Results
Space-group type: P4/mbm
N(E_F) (states/eV per cell): 0.09
Total magnetic moment (μB/f.u.): 0.000
Crystal system: tetragonal

Unit cell a=7.6876 b=7.6876 c=5.5017 alpha=90.00 beta=90.00 gamma=90.00
Last column: nearest neighbours and their distance in Å.
Fractional positions:
Cs1 0.6851 0.1851 0.5000  6 Au 3.43-3.68
Cs2 0.8149 0.6851 0.5000  6 Au 3.43-3.68
Cs3 0.3149 0.8149 0.5000  6 Au 3.43-3.68
Cs4 0.1851 0.3149 0.5000  6 Au 3.43-3.68
Au1 0.8729 0.3729 0.0000  1 Au 2.76, 2 Se 3.03
Au2 0.6271 0.8729 0.0000  1 Au 2.76, 2 Se 3.03
Au3 0.1271 0.6271 0.0000  1 Au 2.76, 2 Se 3.03
Au4 0.3729 0.1271 0.0000  1 Au 2.76, 2 Se 3.03
Se1 0.0000 0.0000 0.0000  4 Au 3.03
Se2 0.5000 0.5000 0.0000  4 Au 3.03


Energies relative to the most stable structure are entry one 0.000; entry two 0.219, reported in eV/atom.